No. 1
NaMgAg (PBE-GGA, optimized geometry); N(E_F) = 1.36 states/eV/cell; space-group type = No. 156; energy above the most stable polymorph in this dataset = 0.092 eV/atom
1.0
-1.0497 -1.2421 2.5853
2.6646 -4.1184 -0.8968
2.0026 3.7456 2.6127
Mg Ag Na
1 1 1
direct
0.3720 0.3333 0.6667 Mg
0.6452 0.6667 0.3333 Ag
0.9828 0.0000 0.0000 Na

No. 2
NaMg2Ag3 (PBE-GGA, optimized geometry); N(E_F) = 2.62 states/eV/cell; space-group type = No. 123
1.0
-0.8692 -2.5102 2.0442
0.3899 -2.1824 -2.5140
10.2292 -1.3182 2.7309
Mg Ag Na
2 3 1
direct
0.5000 0.5000 0.1541 Mg
0.5000 0.5000 0.8459 Mg
0.0000 0.0000 0.0000 Ag
0.0000 0.0000 0.3008 Ag
0.0000 0.0000 0.6992 Ag
0.5000 0.5000 0.5000 Na

No. 3
NaMg2Ag (PBE-GGA, optimized geometry); N(E_F) = 1.78 states/eV/cell; space-group type = No. 123
1.0
3.4362 0.0000 0.0000
0.0000 3.4362 0.0000
0.0000 0.0000 7.8662
Na Mg Ag
1 2 1
direct
0.5000 0.5000 0.5000 Na
0.0000 0.0000 0.8032 Mg
0.0000 0.0000 0.1968 Mg
0.5000 0.5000 0.0000 Ag

no.,formation energy from the elements (eV/atom)
1,0.021
2,-0.141
3,-0.056